K2InPt | the Alexandria database | PBE | optimized geometry; space group = No. 122; D(E_F) = 4.8 states/eV/cell; total energy = -2.476 eV per atom; magnetic moment = 0.0 μB per formula unit
1.0
4.4314 0.0000 0.0000
0.0000 4.4314 0.0000
2.2157 2.2157 11.7345
K Pt In
4 2 2
Cartesian
3.4014 1.1079 2.9336
1.0300 3.3236 2.9336
3.3236 3.2457 8.8009
5.5393 5.6171 8.8009
0.0000 0.0000 0.0000
4.4314 2.2157 5.8672
2.2157 2.2157 0.0000
2.2157 4.4314 5.8672